An optimized crystal structure of La4ZnGe, computed with PBE-GGA.

Results
Electronic total energy = -442.33 eV/cell
DOS(E_F) = 1.329 states/eV/atom
V = 30.813 Å³ per atom
Formation enthalpy at 0 K = -0.341 eV per atom

Unit cell a=14.355 b=14.355 c=14.355 alpha=90.00 beta=90.00 gamma=90.00
Space group F-43m (No. 216)
Asymmetric unit:
La  0.000  0.000  0.188 (multiplicity 24)
La  0.061  0.250  0.750 (multiplicity 24)
La  0.116  0.116  0.384 (multiplicity 16)
Zn  0.167  0.167  0.167 (multiplicity 16)
Ge  0.102  0.102  0.602 (multiplicity 16)

---

An optimized crystal structure of Ba2PdBr, computed with PBE-GGA.

Results
Electronic total energy = -57.36 eV/cell
Energy relative to the elements, uncorrected = -0.907 eV per atom
DOS(E_F) = 0.824 states/eV/atom
V = 42.470 Å³ per atom

Unit cell a=8.408 b=8.408 c=9.611 alpha=90.00 beta=90.00 gamma=90.00
Space group I-42d (No. 122)
Asymmetric unit:
Ba  0.226  0.250  0.125 (multiplicity 8)
Pd  0.000  0.000  0.000 (multiplicity 4)
Br  0.000  0.000  0.500 (multiplicity 4)

---

An optimized crystal structure of Y2PI3, computed with PBE-GGA.

Results
Electronic total energy = -123.92 eV/cell
Energy relative to the elements, uncorrected = -1.332 eV per atom
DOS(E_F) = 0.000 states/eV/atom
V = 41.087 Å³ per atom

Unit cell a=21.087 b=4.317 c=14.266 alpha=90.00 beta=130.59 gamma=90.00
Space group C2/m (No. 12)
Asymmetric unit:
Y  0.085  0.000  0.474 (multiplicity 4)
Y  0.135  0.500  0.810 (multiplicity 4)
P  0.084  0.000  0.664 (multiplicity 4)
I  0.042  0.500  0.271 (multiplicity 4)
I  0.170  0.000  0.012 (multiplicity 4)
I  0.223  0.500  0.621 (multiplicity 4)

---

An optimized crystal structure of NdPaCu, computed with PBE-GGA.

Results
Electronic total energy = -68.92 eV/cell
DOS(E_F) = 1.687 states/eV/atom
V = 24.872 Å³ per atom
Formation enthalpy at 0 K = 0.377 eV per atom

Unit cell a=11.021 b=3.190 c=8.557 alpha=90.00 beta=97.28 gamma=90.00
Space group C2/m (No. 12)
Asymmetric unit:
Nd  0.122  0.000  0.430 (multiplicity 4)
Pa  0.137  0.500  0.832 (multiplicity 4)
Cu  0.093  0.000  0.095 (multiplicity 4)

---

An optimized crystal structure of TaAgHg2, computed with PBE-GGA.

Results
Electronic total energy = -48.94 eV/cell
DOS(E_F) = 1.122 states/eV/atom
V = 21.601 Å³ per atom
Formation enthalpy at 0 K = 0.768 eV per atom

Unit cell a=4.142 b=4.142 c=20.149 alpha=90.00 beta=90.00 gamma=90.00
Space group I-42d (No. 122)
Asymmetric unit:
Ta  0.000  0.000  0.000 (multiplicity 4)
Ag  0.000  0.000  0.500 (multiplicity 4)
Hg  0.249  0.250  0.125 (multiplicity 8)

---

An optimized crystal structure of ZrTeSe4, computed with PBE-GGA.

Results
Electronic total energy = -95.25 eV/cell
Energy relative to the elements, uncorrected = 0.302 eV per atom
DOS(E_F) = 0.614 states/eV/atom
V = 21.920 Å³ per atom

Unit cell a=8.073 b=8.073 c=8.073 alpha=90.00 beta=90.00 gamma=90.00
Space group F-43m (No. 216)
Asymmetric unit:
Zr  0.000  0.000  0.000 (multiplicity 4)
Te  0.250  0.250  0.250 (multiplicity 4)
Se  0.127  0.127  0.627 (multiplicity 16)